1.
Below is crystalline Nb4Cd2Pd at its relaxed geometry, with properties calculated at the GGA-PBE level.

The structure in extended XYZ format:
```
7
Lattice="-2.3750 2.3750 7.2498 2.3750 -2.3750 7.2498 2.3750 2.3750 -7.2498" Properties=species:S:1:pos:R:3 pbc="T T T"
Nb 2.3750 0.0000 0.0000
Nb 0.0000 0.0000 2.5684
Nb 0.0000 2.3750 0.0000
Nb 0.0000 0.0000 11.9312
Cd 0.0000 0.0000 5.3703
Cd 0.0000 0.0000 9.1294
Pd 0.0000 0.0000 0.0000
```

The formation enthalpy at 0 K is 1230 meV/atom. The calculation puts the total energy at -5.53 eV per atom.

2.
Below is crystalline LaAgSn at its relaxed geometry, with properties calculated at the GGA-PBE level.

The structure in extended XYZ format:
```
6
Lattice="4.9440 0.0000 0.0000 -2.4720 4.2816 0.0000 0.0000 0.0000 7.8386" Properties=species:S:1:pos:R:3 pbc="T T T"
La 0.0000 0.0000 1.8595
La 0.0000 0.0000 5.9791
Ag 0.0000 2.8544 0.0788
Ag 2.4720 1.4272 7.7598
Sn 0.0000 2.8544 3.6426
Sn 2.4720 1.4272 4.1960
```

The formation enthalpy at 0 K is -410 meV/atom. The calculation puts the total energy at -4.34 eV per atom.